Record 1
! Ti3Zn2N PBE relaxed; values from VASP
&SYSTEM
  ibrav = 0, nat = 24, ntyp = 3
/
ATOMIC_SPECIES
Ti 47.87 Ti.upf
Zn 65.41 Zn.upf
N 14.01 N.upf
CELL_PARAMETERS angstrom
6.861 0.000 0.000
0.000 6.861 0.000
0.000 0.000 6.861
ATOMIC_POSITIONS crystal
Ti 0.039 0.125 0.789
Ti 0.125 0.789 0.039
Ti 0.211 0.539 0.375
Ti 0.289 0.461 0.875
Ti 0.375 0.211 0.539
Ti 0.461 0.875 0.289
Ti 0.539 0.375 0.211
Ti 0.625 0.711 0.961
Ti 0.711 0.961 0.625
Ti 0.789 0.039 0.125
Ti 0.875 0.289 0.461
Ti 0.961 0.625 0.711
Zn 0.072 0.928 0.428
Zn 0.178 0.178 0.178
Zn 0.322 0.822 0.678
Zn 0.428 0.072 0.928
Zn 0.572 0.572 0.572
Zn 0.678 0.322 0.822
Zn 0.822 0.678 0.322
Zn 0.928 0.428 0.072
N 0.125 0.375 0.625
N 0.375 0.625 0.125
N 0.625 0.125 0.375
N 0.875 0.875 0.875
! Energy relative to the elements, uncorrected: -4.4 eV per formula unit

=====

Record 2
! NiIr2Ru2 PBE relaxed; values from VASP
&SYSTEM
  ibrav = 0, nat = 10, ntyp = 3
/
ATOMIC_SPECIES
Ni 58.69 Ni.upf
Ir 192.22 Ir.upf
Ru 101.07 Ru.upf
CELL_PARAMETERS angstrom
4.544 -2.342 0.000
4.544 2.342 0.000
-2.454 0.000 6.421
ATOMIC_POSITIONS crystal
Ni 0.166 0.834 0.750
Ni 0.834 0.166 0.250
Ir 0.031 0.364 0.646
Ir 0.364 0.031 0.146
Ir 0.636 0.969 0.854
Ir 0.969 0.636 0.354
Ru 0.229 0.567 0.051
Ru 0.433 0.771 0.449
Ru 0.567 0.229 0.551
Ru 0.771 0.433 0.949
! Calculated formation energy: 0.01 eV per atom